The following is a GGA-PBE calculation of a geometry-optimized U3As2Se structure, from Alexandria.

Cell lengths 6.969, 6.969, 6.969 Å; angles 145.16, 131.04, 61.48 degrees
Sites, in units of the cell vectors:
U1 0.000 0.000 0.000
U2 0.332 0.332 0.000
U3 0.668 0.668 0.000
As1 0.166 0.666 0.500
As2 0.834 0.334 0.500
Se1 0.500 0.000 0.500

Summary:
SG: Immm (71)
DFT total energy in eV for the cell shown: -51.59
Size of the total moment in μB/atom: 1.295
Energy relative to the elements, uncorrected in eV/atom: -0.823
ρ in g/cm³: 10.849